Entry 1:
## La2CuOs (GGA-PBEsol)

Data for crystalline La2CuOs at its relaxed geometry.

abc: 4.315 4.315 5.388
angles: 113.60 113.60 90.00
Fractional coordinates of all 4 atoms:
1 Cu 0.250 0.750 0.500
2 La 0.000 0.000 0.000
3 La 0.750 0.250 0.500
4 Os 0.500 0.500 0.000

Output
* VASP energy: -6.6411 eV/atom
* magnetization: 0.00 μB per formula unit
* space group: I-4m2 (119)
* Fermi-level density of states: 3.40 states/eV per cell
* E_form: 0.170 eV per atom

---

Entry 2:
## Ce2ZrS5 (GGA-PBEsol)

Data for crystalline Ce2ZrS5 at its relaxed geometry.

abc: 7.169 8.028 11.073
angles: 90.00 90.00 90.00
Last column: magnetic moment on the atom in μB.
Fractional coordinates of all 32 atoms:
1 Ce 0.438 0.499 0.328  0.85
2 Ce 0.062 0.001 0.828  0.85
3 Ce 0.562 0.999 0.672  0.85
4 Ce 0.938 0.501 0.172  0.85
5 Ce 0.562 0.501 0.672  0.85
6 Ce 0.938 0.999 0.172  0.85
7 Ce 0.438 0.001 0.328  0.85
8 Ce 0.062 0.499 0.828  0.85
9 Zr 0.925 0.250 0.490  0.09
10 Zr 0.575 0.250 0.990  0.09
11 Zr 0.075 0.750 0.510  0.09
12 Zr 0.425 0.750 0.010  0.09
13 S 0.183 0.038 0.574  -0.01
14 S 0.317 0.462 0.074  -0.01
15 S 0.817 0.538 0.426  -0.01
16 S 0.683 0.962 0.926  -0.01
17 S 0.817 0.962 0.426  -0.01
18 S 0.683 0.538 0.926  -0.01
19 S 0.183 0.462 0.574  -0.01
20 S 0.317 0.038 0.074  -0.01
21 S 0.144 0.250 0.303  -0.02
22 S 0.356 0.250 0.803  -0.02
23 S 0.856 0.750 0.697  -0.02
24 S 0.644 0.750 0.197  -0.02
25 S 0.552 0.250 0.497  -0.03
26 S 0.948 0.250 0.997  -0.03
27 S 0.448 0.750 0.503  -0.03
28 S 0.052 0.750 0.003  -0.03
29 S 0.838 0.250 0.714  -0.02
30 S 0.662 0.250 0.214  -0.02
31 S 0.162 0.750 0.286  -0.02
32 S 0.338 0.750 0.786  -0.02

Output
* VASP energy: -7.4392 eV/atom
* magnetization: 2.00 μB per formula unit
* space group: Pnma (62)
* Fermi-level density of states: 43.51 states/eV per cell
* E_form (uncorrected): -1.914 eV per atom

---

Entry 3:
## PrIn2Cl5 (GGA-PBEsol)

Data for crystalline PrIn2Cl5 at its relaxed geometry.

abc: 7.944 8.707 12.498
angles: 90.00 90.00 90.00
Fractional coordinates of all 32 atoms:
1 Pr 0.078 0.250 0.506
2 Pr 0.422 0.250 0.006
3 Pr 0.922 0.750 0.494
4 Pr 0.578 0.750 0.994
5 In 0.057 0.992 0.828
6 In 0.943 0.008 0.172
7 In 0.443 0.508 0.328
8 In 0.943 0.492 0.172
9 In 0.057 0.508 0.828
10 In 0.557 0.492 0.672
11 In 0.443 0.992 0.328
12 In 0.557 0.008 0.672
13 Cl 0.429 0.250 0.504
14 Cl 0.830 0.045 0.424
15 Cl 0.170 0.955 0.576
16 Cl 0.670 0.455 0.924
17 Cl 0.830 0.455 0.424
18 Cl 0.660 0.750 0.211
19 Cl 0.670 0.045 0.924
20 Cl 0.170 0.545 0.576
21 Cl 0.616 0.250 0.190
22 Cl 0.330 0.955 0.076
23 Cl 0.840 0.750 0.711
24 Cl 0.384 0.750 0.810
25 Cl 0.571 0.750 0.496
26 Cl 0.884 0.250 0.690
27 Cl 0.330 0.545 0.076
28 Cl 0.929 0.750 0.996
29 Cl 0.071 0.250 0.004
30 Cl 0.160 0.250 0.289
31 Cl 0.340 0.250 0.789
32 Cl 0.116 0.750 0.310

Output
* VASP energy: -4.1858 eV/atom
* magnetization: 0.00 μB per formula unit
* space group: Pnma (62)
* Fermi-level density of states: 0.00 states/eV per cell
* E_form (uncorrected): -1.537 eV per atom

---

Entry 4:
## MgMoRh2 (GGA-PBEsol)

Data for crystalline MgMoRh2 at its relaxed geometry.

abc: 2.840 2.840 7.217
angles: 90.00 90.00 90.00
Fractional coordinates of all 4 atoms:
1 Mo 0.500 0.500 0.500
2 Rh 0.000 0.000 0.743
3 Rh 0.000 0.000 0.257
4 Mg 0.500 0.500 0.000

Output
* VASP energy: -7.7479 eV/atom
* magnetization: 0.00 μB per formula unit
* space group: P4/mmm (123)
* Fermi-level density of states: 2.80 states/eV per cell
* E_form: -0.307 eV per atom